No. 1
Compound: Be2C3
Source: the Alexandria database
Functional: PBE-GGA
Structure: relaxed

- ΔE_f: 0.6108 eV per atom
- SG: Fdd2, No. 43
- Magnetization: 0.00 μB/cell
- E above lowest polymorph: 204.6 meV per atom
- Electronic total energy: -6.414 eV per atom

Structure (POSCAR):
```
Be2C3
1.0
0.000 4.618 5.710
1.503 0.000 5.710
1.503 4.618 0.000
C Be
6 4
Direct
0.615 0.266 0.629
0.491 0.629 0.266
0.621 0.759 0.635
0.796 0.704 0.704
0.546 0.454 0.454
0.984 0.635 0.759
0.161 0.162 0.740
0.510 0.312 0.089
0.088 0.089 0.312
0.938 0.740 0.162
```


No. 2
Compound: SrAg2Bi
Source: the Alexandria database
Functional: PBE-GGA
Structure: relaxed

- ΔE_f: -0.2077 eV per atom
- SG: Cmcm, No. 63
- Magnetization: 0.00 μB/cell
- Electronic total energy: -3.024 eV per atom

Structure (POSCAR):
```
SrAg2Bi
1.0
-3.065 -3.863 -0.432
4.195 0.385 -4.789
5.258 -4.646 4.232
Bi Ag Sr
2 4 2
Direct
0.870 0.740 0.250
0.130 0.260 0.750
0.256 0.512 0.080
0.744 0.488 0.580
0.744 0.488 0.920
0.256 0.512 0.420
0.572 0.144 0.250
0.428 0.856 0.750
```


No. 3
Compound: ScAl
Source: the Alexandria database
Functional: PBE-GGA
Structure: relaxed

- ΔE_f: 0.0287 eV per atom
- SG: P4_2/mnm, No. 136
- Magnetization: 0.94 μB/cell
- Electronic total energy: -5.008 eV per atom

Structure (POSCAR):
```
ScAl
1.0
5.552 0.000 0.000
0.000 5.552 0.000
0.000 0.000 5.664
Al Sc
4 4
Direct
0.327 0.673 0.000
0.673 0.327 0.000
0.173 0.173 0.500
0.827 0.827 0.500
0.683 0.317 0.500
0.183 0.183 0.000
0.817 0.817 0.000
0.317 0.683 0.500
```


No. 4
Compound: Pr4Er2Tm5
Source: the Alexandria database
Functional: PBE-GGA
Structure: relaxed

- ΔE_f: 0.2251 eV per atom
- SG: C2/m, No. 12
- Magnetization: 0.00 μB/cell
- E above lowest polymorph: 117.9 meV per atom
- Electronic total energy: -4.375 eV per atom

Structure (POSCAR):
```
Pr4Er2Tm5
1.0
3.527 0.000 0.000
0.000 8.776 0.166
-1.764 -2.486 11.884
Tm Pr Er
5 4 2
Direct
0.187 0.902 0.374
0.769 0.672 0.538
0.813 0.098 0.626
0.500 0.000 0.000
0.231 0.328 0.462
0.370 0.468 0.740
0.029 0.698 0.058
0.630 0.532 0.260
0.971 0.302 0.942
0.103 0.180 0.206
0.897 0.820 0.794
```


No. 5
Compound: SmErFeCu
Source: the Alexandria database
Functional: PBE-GGA
Structure: relaxed

- ΔE_f: 0.0123 eV per atom
- SG: F-43m, No. 216
- Magnetization: 1.12 μB/cell
- Electronic total energy: -5.448 eV per atom

Structure (POSCAR):
```
SmErFeCu
1.0
-4.044 -2.632 0.589
-0.284 -3.246 3.607
-2.914 0.838 3.800
Cu Fe Sm Er
1 1 1 1
Direct
0.750 0.750 0.750
0.250 0.250 0.250
0.500 0.500 0.500
0.000 0.000 0.000
```


No. 6
Compound: TbPuRh
Source: the Alexandria database
Functional: PBE-GGA
Structure: relaxed

- ΔE_f: -0.2146 eV per atom
- SG: P3m1, No. 156
- Magnetization: 5.78 μB/cell
- E above lowest polymorph: 236.8 meV per atom
- Electronic total energy: -8.986 eV per atom

Structure (POSCAR):
```
TbPuRh
1.0
3.354 0.000 0.000
0.000 4.805 0.000
0.000 -2.402 4.161
Tb Pu Rh
1 1 1
Direct
0.314 0.333 0.667
0.735 0.667 0.333
0.951 0.000 0.000
```


No. 7
Compound: Ac2Sm5YTm
Source: the Alexandria database
Functional: PBE-GGA
Structure: relaxed

- ΔE_f: 0.1467 eV per atom
- SG: Cmc2_1, No. 36
- Magnetization: 0.00 μB/cell
- Electronic total energy: -4.603 eV per atom

Structure (POSCAR):
```
Ac2Sm5YTm
1.0
5.798 0.000 0.000
-2.899 10.283 0.000
0.000 0.000 10.893
Y Sm Tm Ac
2 10 2 4
Direct
0.408 0.815 0.467
0.592 0.185 0.967
0.281 0.561 0.310
0.296 0.591 0.703
0.483 0.966 0.742
0.981 0.963 0.521
0.386 0.771 0.020
0.019 0.037 0.021
0.719 0.439 0.810
0.704 0.409 0.203
0.614 0.229 0.520
0.517 0.034 0.242
0.796 0.592 0.510
0.204 0.408 0.010
0.887 0.775 0.234
0.116 0.233 0.316
0.113 0.225 0.734
0.884 0.767 0.816
```


No. 8
Compound: Ho2GeCl
Source: the Alexandria database
Functional: PBE-GGA
Structure: relaxed

- SG: R3m, No. 160
- Magnetization: 0.00 μB/cell
- E above lowest polymorph: 71.8 meV per atom
- Electronic total energy: -4.990 eV per atom

Structure (POSCAR):
```
Ho2GeCl
1.0
-2.655 3.025 0.554
-2.930 0.659 -2.737
-6.169 -3.202 2.817
Ge Ho Cl
1 2 1
Direct
0.669 0.669 0.994
0.264 0.264 0.208
0.071 0.071 0.787
0.496 0.496 0.511
```